## A
First-principles (PBE) data for a relaxed structure of Mg2Tl6Pb, as listed in Alexandria via LeMat-Bulk.

Output
density of states at the Fermi level	0.5214	states/eV per atom
total magnetization	0.00	μB per cell

Unit cell a=15.657 b=3.501 c=11.260 alpha=90.00 beta=120.92 gamma=90.00
Space group C2/m (No. 12)
Unique sites:
Mg1 0.134 0.000 0.260
Tl1 0.039 0.500 0.706
Tl2 0.168 0.000 0.552
Tl3 0.238 0.500 0.112
Pb1 0.000 0.500 0.000

## B
First-principles (PBE) data for a relaxed structure of Mg2Tl6Pb, as listed in Alexandria via LeMat-Bulk.

Output
density of states at the Fermi level	0.4222	states/eV per atom
total magnetization	0.00	μB per cell

Unit cell a=12.753 b=3.619 c=11.601 alpha=90.00 beta=106.27 gamma=90.00
Space group C2/m (No. 12)
Unique sites:
Mg1 0.153 0.000 0.204
Tl1 0.020 0.500 0.344
Tl2 0.172 0.000 0.881
Tl3 0.182 0.000 0.584
Pb1 0.000 0.500 0.000

What are the relative energies? In kJ/mol of atoms: A 2.9; B 0.0.